(1)
A relaxed structure of V2HgPb2O7, computed with PBE with a Hubbard U.

Values from the calculation:
Space group: R-3m, No. 166

Lattice parameters (Å, degrees): 9.317 9.317 9.317 39.34 39.34 39.34
Fractional coordinates of all 12 atoms:
V 0.071 0.071 0.071
V 0.929 0.929 0.929
Hg 0.500 0.500 0.500
Pb 0.284 0.284 0.284
Pb 0.716 0.716 0.716
O 0.000 0.000 0.000
O 0.062 0.062 0.606
O 0.062 0.606 0.062
O 0.394 0.938 0.938
O 0.606 0.062 0.062
O 0.938 0.394 0.938
O 0.938 0.938 0.394

---

(2)
A relaxed structure of V2HgPbO6, computed with PBE with a Hubbard U.

Values from the calculation:
Space group: C2/c, No. 15

Lattice parameters (Å, degrees): 7.850 7.850 6.095 99.39 99.39 88.28
Fractional coordinates of all 20 atoms:
V 0.143 0.279 0.300
V 0.279 0.143 0.800
V 0.721 0.857 0.200
V 0.857 0.721 0.700
Hg 0.216 0.784 0.250
Hg 0.784 0.216 0.750
Pb 0.373 0.627 0.750
Pb 0.627 0.373 0.250
O 0.044 0.612 0.732
O 0.145 0.159 0.531
O 0.159 0.145 0.031
O 0.318 0.413 0.373
O 0.388 0.956 0.768
O 0.413 0.318 0.873
O 0.587 0.682 0.127
O 0.612 0.044 0.232
O 0.682 0.587 0.627
O 0.841 0.855 0.969
O 0.855 0.841 0.469
O 0.956 0.388 0.268

---

(3)
A relaxed structure of VHgPbO4, computed with PBE with a Hubbard U.

Values from the calculation:
Space group: C2/m, No. 12

Lattice parameters (Å, degrees): 6.894 6.894 7.343 99.79 99.79 58.77
Fractional coordinates of all 14 atoms:
V 0.134 0.134 0.271
V 0.866 0.866 0.729
Hg 0.394 0.394 0.507
Hg 0.606 0.606 0.493
Pb 0.203 0.203 0.854
Pb 0.797 0.797 0.146
O 0.007 0.007 0.720
O 0.033 0.628 0.852
O 0.218 0.218 0.507
O 0.372 0.967 0.148
O 0.628 0.033 0.852
O 0.782 0.782 0.493
O 0.967 0.372 0.148
O 0.993 0.993 0.280

---

(4)
A relaxed structure of V2Hg2PbO7, computed with PBE with a Hubbard U.

Values from the calculation:
Space group: R32, No. 155

Lattice parameters (Å, degrees): 8.547 8.547 8.547 38.24 38.24 38.24
Fractional coordinates of all 12 atoms:
V 0.077 0.077 0.077
V 0.923 0.923 0.923
Hg 0.298 0.298 0.298
Hg 0.702 0.702 0.702
Pb 0.500 0.500 0.500
O 0.000 0.000 0.000
O 0.098 0.393 0.809
O 0.191 0.607 0.902
O 0.393 0.809 0.098
O 0.607 0.902 0.191
O 0.809 0.098 0.393
O 0.902 0.191 0.607

---

Number 1: electronic total energy -6.205 eV per atom, theoretical density 4.70 Mg/m³. Number 2: electronic total energy -6.395 eV per atom, theoretical density 5.50 Mg/m³. Number 3: electronic total energy -5.824 eV per atom, theoretical density 5.93 Mg/m³. Number 4: electronic total energy -5.753 eV per atom, theoretical density 6.35 Mg/m³.